No. 1
Computed, not measured: a relaxed BaZn2As2 crystal at the GGA-PBE level of DFT.

```
data_BaZn2As2
_cell_length_a 7.392
_cell_length_b 7.392
_cell_length_c 7.392
_cell_angle_alpha 147.38
_cell_angle_beta 147.38
_cell_angle_gamma 46.80
_symmetry_space_group_name_H-M 'P 1'
_symmetry_Int_Tables_number 1
loop_
_symmetry_equiv_pos_as_xyz
'x,y,z'
loop_
_atom_site_label
_atom_site_type_symbol
_atom_site_fract_x
_atom_site_fract_y
_atom_site_fract_z
_atom_site_occupancy
Ba1 Ba 0.000 0.000 0.000 1
Zn1 Zn 0.250 0.750 0.500 1
Zn2 Zn 0.750 0.250 0.500 1
As1 As 0.364 0.364 0.000 1
As2 As 0.636 0.636 0.000 1
```

Summary:
VASP energy in eV per atom: -3.40
Symmetry: I4/mmm, No. 139
Crystal system: tetragonal



No. 2
Computed, not measured: a relaxed BaZnAs crystal at the GGA-PBE level of DFT.

```
data_BaZnAs
_cell_length_a 5.012
_cell_length_b 5.012
_cell_length_c 5.012
_cell_angle_alpha 60.00
_cell_angle_beta 60.00
_cell_angle_gamma 60.00
_symmetry_space_group_name_H-M 'P 1'
_symmetry_Int_Tables_number 1
loop_
_symmetry_equiv_pos_as_xyz
'x,y,z'
loop_
_atom_site_label
_atom_site_type_symbol
_atom_site_fract_x
_atom_site_fract_y
_atom_site_fract_z
_atom_site_occupancy
Ba1 Ba 0.000 0.000 0.000 1
Zn1 Zn 0.750 0.750 0.750 1
As1 As 0.500 0.500 0.500 1
```

Summary:
VASP energy in eV per atom: -2.99
Symmetry: F-43m, No. 216
Crystal system: cubic



No. 3
Computed, not measured: a relaxed BaZnAs2 crystal at the GGA-PBE level of DFT.

```
data_BaZnAs2
_cell_length_a 5.242
_cell_length_b 5.242
_cell_length_c 5.242
_cell_angle_alpha 60.00
_cell_angle_beta 60.00
_cell_angle_gamma 60.00
_symmetry_space_group_name_H-M 'P 1'
_symmetry_Int_Tables_number 1
loop_
_symmetry_equiv_pos_as_xyz
'x,y,z'
loop_
_atom_site_label
_atom_site_type_symbol
_atom_site_fract_x
_atom_site_fract_y
_atom_site_fract_z
_atom_site_occupancy
Ba1 Ba 0.000 0.000 0.000 1
Zn1 Zn 0.250 0.250 0.250 1
As1 As 0.500 0.500 0.500 1
As2 As 0.750 0.750 0.750 1
```

Summary:
VASP energy in eV per atom: -3.21
Symmetry: F-43m, No. 216
Crystal system: cubic



No. 4
Computed, not measured: a relaxed BaZn2As2 crystal at the GGA-PBE level of DFT.

```
data_BaZn2As2
_cell_length_a 10.086
_cell_length_b 4.285
_cell_length_c 10.988
_cell_angle_alpha 90.00
_cell_angle_beta 90.00
_cell_angle_gamma 90.00
_symmetry_space_group_name_H-M 'P 1'
_symmetry_Int_Tables_number 1
loop_
_symmetry_equiv_pos_as_xyz
'x,y,z'
loop_
_atom_site_label
_atom_site_type_symbol
_atom_site_fract_x
_atom_site_fract_y
_atom_site_fract_z
_atom_site_occupancy
Ba1 Ba 0.247 0.250 0.175 1
Ba2 Ba 0.253 0.750 0.675 1
Ba3 Ba 0.747 0.250 0.325 1
Ba4 Ba 0.753 0.750 0.825 1
Zn1 Zn 0.050 0.250 0.883 1
Zn2 Zn 0.098 0.250 0.451 1
Zn3 Zn 0.402 0.750 0.951 1
Zn4 Zn 0.450 0.750 0.383 1
Zn5 Zn 0.550 0.250 0.617 1
Zn6 Zn 0.598 0.250 0.049 1
Zn7 Zn 0.902 0.750 0.549 1
Zn8 Zn 0.950 0.750 0.117 1
As1 As 0.022 0.750 0.339 1
As2 As 0.150 0.750 0.962 1
As3 As 0.350 0.250 0.462 1
As4 As 0.478 0.250 0.839 1
As5 As 0.522 0.750 0.161 1
As6 As 0.650 0.750 0.538 1
As7 As 0.850 0.250 0.038 1
As8 As 0.978 0.250 0.661 1
```

Summary:
VASP energy in eV per atom: -3.43
Symmetry: Pnma, No. 62
Crystal system: orthorhombic



Number 1: calculated volume 117 Å³/cell. Number 2: calculated volume 89 Å³/cell. Number 3: calculated volume 102 Å³/cell. Number 4: calculated volume 475 Å³/cell.